[1]
VASP calculation (GGA-PBE) on crystalline Na2Y2I at its relaxed geometry.

Cell lengths 7.528, 7.528, 6.097 Å; angles 90.00, 90.00, 90.00 degrees
Fractional positions:
Na 0.134 0.366 0.000
Na 0.366 0.866 0.000
Na 0.866 0.634 0.000
Na 0.634 0.134 0.000
Y 0.841 0.341 0.500
Y 0.159 0.659 0.500
Y 0.341 0.159 0.500
Y 0.659 0.841 0.500
I 0.000 0.000 0.000
I 0.500 0.500 0.000

Output
Distance to the lowest polymorph of the same formula = 95 meV/atom
Crystal system = tetragonal
Space-group type = P4/mbm
Calculated volume = 34.55 A^3/atom
Uncorrected formation energy = 150 meV per atom

---

[2]
VASP calculation (GGA-PBE) on crystalline NaYI4 at its relaxed geometry.

Cell lengths 4.441, 7.640, 8.017 Å; angles 89.85, 90.00, 90.00 degrees
Fractional positions:
I 0.500 0.234 0.850
I 0.000 0.225 0.307
I 0.000 0.775 0.693
I 0.500 0.766 0.150
Na 0.500 0.000 0.500
Y 0.000 0.000 0.000

Output
Crystal system = monoclinic
Space-group type = P2/m
Calculated volume = 45.34 A^3/atom
Uncorrected formation energy = -1353 meV per atom

---

[3]
VASP calculation (GGA-PBE) on crystalline Na2YZnI at its relaxed geometry.

Cell lengths 6.883, 5.889, 6.883 Å; angles 90.00, 90.00, 90.00 degrees
Fractional positions:
Na 0.500 0.000 0.000
Na 0.000 0.000 0.500
I 0.000 0.500 0.000
Zn 0.500 0.500 0.500
Y 0.000 0.000 0.000

Output
Crystal system = tetragonal
Space-group type = P4/mmm
Calculated volume = 55.80 A^3/atom
Uncorrected formation energy = 339 meV per atom

---

[4]
VASP calculation (GGA-PBE) on crystalline Na2ZnI at its relaxed geometry.

Cell lengths 5.595, 5.595, 5.595 Å; angles 60.00, 60.00, 60.00 degrees
Fractional positions:
Na 0.750 0.750 0.750
Na 0.250 0.250 0.250
I 0.500 0.500 0.500
Zn 0.000 0.000 0.000

Output
Distance to the lowest polymorph of the same formula = 0 meV/atom
Crystal system = cubic
Space-group type = Fm-3m
Calculated volume = 30.96 A^3/atom
Uncorrected formation energy = -323 meV per atom